1.
## HfTi2V (GGA-PBE)

Data for crystalline HfTi2V at its relaxed geometry.

Energy above the most stable polymorph in this dataset in meV per atom: 101.3
E_tot in eV per atom: -8.54
Magnetization in μB per cell: 0.46
Symmetry: P4/mmm, No. 123
Energy of formation from the pure elements in eV/atom: 0.177

abc: 4.515 3.964 3.964
angles: 90.00 90.00 90.00
Site moments in Bohr magnetons follow the coordinates.
Positions (direct):
Ti1 0.000 0.000 0.500  -0.28
Hf1 0.500 0.500 0.500  0.03
V1 0.500 0.000 0.000  0.97
Ti2 0.000 0.500 0.000  -0.28

2.
## BaCdIn2As (GGA-PBE)

Data for crystalline BaCdIn2As at its relaxed geometry.

E_tot in eV per atom: -1.91
Magnetization in μB per cell: 0.00
Symmetry: P4/mmm, No. 123
Energy of formation from the pure elements in eV/atom: 0.682

abc: 6.717 5.727 6.717
angles: 90.00 90.00 90.00
Positions (direct):
In1 0.000 0.000 0.500
Ba1 0.000 0.000 0.000
In2 0.500 0.000 0.000
As1 0.000 0.500 0.000
Cd1 0.500 0.500 0.500

3.
## SiRh2Br (GGA-PBE)

Data for crystalline SiRh2Br at its relaxed geometry.

Energy above the most stable polymorph in this dataset in meV per atom: 71.8
Raw formation energy in eV/atom: -0.254
E_tot in eV per atom: -5.70
Magnetization in μB per cell: 0.00
Symmetry: Amm2, No. 38

abc: 6.783 6.783 3.131
angles: 90.00 90.00 29.07
Positions (direct):
Br1 0.204 0.204 0.125
Rh1 0.014 0.014 0.125
Si1 0.450 0.450 0.625
Rh2 0.832 0.832 0.625

4.
## AsOsRu (GGA-PBE)

Data for crystalline AsOsRu at its relaxed geometry.

Energy above the most stable polymorph in this dataset in meV per atom: 38.9
E_tot in eV per atom: -8.11
Magnetization in μB per cell: 0.00
Symmetry: I4mm, No. 107
Energy of formation from the pure elements in eV/atom: 0.276

abc: 5.348 5.348 5.348
angles: 147.90 147.90 46.04
Positions (direct):
As1 0.999 0.999 0.000
Os1 0.346 0.346 0.000
Ru1 0.655 0.655 0.000

5.
## Np2Si5Os (GGA-PBE)

Data for crystalline Np2Si5Os at its relaxed geometry.

Raw formation energy in eV/atom: -0.220
E_tot in eV per atom: -8.25
Magnetization in μB per cell: 8.00
Symmetry: I4mm, No. 107

abc: 5.826 5.826 5.896
angles: 119.61 119.61 90.00
Site moments in Bohr magnetons follow the coordinates.
Positions (direct):
Si1 0.297 0.297 0.015  -0.01
Si2 0.297 0.718 0.015  -0.01
Si3 0.724 0.724 0.447  -0.01
Os1 0.998 0.998 0.996  0.03
Si4 0.718 0.718 0.016  -0.01
Si5 0.718 0.297 0.016  -0.01
Np1 0.262 0.762 0.525  3.69
Np2 0.762 0.262 0.525  3.69

6.
## SrNiSbI2 (GGA-PBE)

Data for crystalline SrNiSbI2 at its relaxed geometry.

Raw formation energy in eV/atom: -0.372
E_tot in eV per atom: -3.31
Magnetization in μB per cell: 0.73
Symmetry: P4/mmm, No. 123

abc: 5.460 5.460 5.118
angles: 90.00 90.00 90.00
Site moments in Bohr magnetons follow the coordinates.
Positions (direct):
Sr1 0.500 0.500 0.500  0.02
I1 0.500 0.000 0.000  0.04
Ni1 0.000 0.000 0.000  0.14
I2 0.000 0.500 0.000  0.04
Sb1 0.000 0.000 0.500  0.17

7.
## SrAg2Ir (GGA-PBE)

Data for crystalline SrAg2Ir at its relaxed geometry.

Energy above the most stable polymorph in this dataset in meV per atom: 113.4
E_tot in eV per atom: -3.88
Magnetization in μB per cell: 0.00
Symmetry: P4/mmm, No. 123
Energy of formation from the pure elements in eV/atom: 0.179

abc: 4.303 4.303 4.401
angles: 90.00 90.00 90.00
Positions (direct):
Ag1 0.000 0.000 0.000
Sr1 0.000 0.500 0.500
Ag2 0.500 0.500 0.000
Ir1 0.500 0.000 0.500

8.
## Ta8Nb2Au (GGA-PBE)

Data for crystalline Ta8Nb2Au at its relaxed geometry.

E_tot in eV per atom: -10.79
Magnetization in μB per cell: 0.00
Symmetry: C2/m, No. 12
Energy of formation from the pure elements in eV/atom: -0.037

abc: 3.354 7.348 8.560
angles: 75.05 78.69 90.05
Positions (direct):
Ta1 0.545 0.720 0.879
Ta2 0.360 0.818 0.248
Ta3 0.090 0.453 0.789
Ta4 0.909 0.548 0.151
Ta5 0.639 0.183 0.691
Nb1 0.274 0.365 0.422
Nb2 0.725 0.635 0.518
Ta6 0.454 0.280 0.061
Au1 0.000 0.000 0.970
Ta7 0.817 0.091 0.335
Ta8 0.182 0.909 0.604

9.
## MnZnBr2 (GGA-PBE)

Data for crystalline MnZnBr2 at its relaxed geometry.

Energy above the most stable polymorph in this dataset in meV per atom: 164.8
Raw formation energy in eV/atom: -0.184
E_tot in eV per atom: -3.63
Magnetization in μB per cell: 4.87
Symmetry: Imm2, No. 44

abc: 6.332 6.332 6.332
angles: 147.65 104.36 84.67
Site moments in Bohr magnetons follow the coordinates.
Positions (direct):
Br1 0.683 0.183 0.500  0.10
Zn1 0.263 0.763 0.500  -0.01
Mn1 0.486 0.486 0.000  4.31
Br2 0.068 0.068 0.000  0.03

10.
## TlCoW (GGA-PBE)

Data for crystalline TlCoW at its relaxed geometry.

E_tot in eV per atom: -6.89
Magnetization in μB per cell: 0.00
Symmetry: I4mm, No. 107
Energy of formation from the pure elements in eV/atom: 0.581

abc: 6.039 6.039 2.965
angles: 75.79 75.79 28.42
Positions (direct):
Co1 0.020 0.020 0.980
Tl1 0.341 0.341 0.659
W1 0.638 0.638 0.362

11.
## Er3U5As8 (GGA-PBE)

Data for crystalline Er3U5As8 at its relaxed geometry.

E_tot in eV per atom: -7.73
Magnetization in μB per cell: 12.50
Symmetry: R-3m, No. 166
Energy of formation from the pure elements in eV/atom: -1.025

abc: 8.130 8.130 8.201
angles: 60.29 60.29 60.00
Site moments in Bohr magnetons follow the coordinates.
Positions (direct):
U1 0.000 0.000 0.000  2.27
As1 0.250 0.250 0.748  -0.06
Er1 0.000 0.000 0.500  0.00
Er2 0.500 0.000 0.500  0.00
As2 0.751 0.250 0.748  -0.06
U2 0.000 0.500 0.000  2.30
U3 0.500 0.500 0.000  2.30
U4 0.500 0.500 0.500  2.24
As3 0.250 0.250 0.250  -0.05
As4 0.249 0.750 0.252  -0.06
As5 0.250 0.751 0.748  -0.06
As6 0.750 0.750 0.750  -0.05
U5 0.500 0.000 0.000  2.30
As7 0.750 0.750 0.252  -0.06
Er3 0.000 0.500 0.500  0.00
As8 0.750 0.249 0.252  -0.06

12.
## NaSr2ClF (GGA-PBE)

Data for crystalline NaSr2ClF at its relaxed geometry.

Raw formation energy in eV/atom: -1.339
E_tot in eV per atom: -3.02
Magnetization in μB per cell: 0.00
Symmetry: P4/mmm, No. 123

abc: 6.104 4.265 6.104
angles: 90.00 90.00 90.00
Positions (direct):
Na1 0.000 0.500 0.000
F1 0.000 0.000 0.000
Sr1 0.000 0.000 0.500
Cl1 0.500 0.500 0.500
Sr2 0.500 0.000 0.000

13.
## Hf6Fe2Ag (GGA-PBE)

Data for crystalline Hf6Fe2Ag at its relaxed geometry.

E_tot in eV per atom: -8.94
Magnetization in μB per cell: 0.00
Symmetry: Immm, No. 71
Energy of formation from the pure elements in eV/atom: -0.110

abc: 7.691 7.691 7.691
angles: 102.69 111.65 114.29
Positions (direct):
Fe1 0.666 0.000 0.666
Hf1 0.307 0.634 0.328
Hf2 0.795 0.767 0.562
Hf3 0.205 0.767 0.972
Hf4 0.890 0.702 0.188
Fe2 0.500 0.368 0.868
Ag1 0.000 0.000 0.000
Hf5 0.795 0.233 0.028
Hf6 0.693 0.366 0.672
Hf7 0.693 0.021 0.328
Hf8 0.307 0.979 0.672
Hf9 0.514 0.702 0.812
Hf10 0.486 0.298 0.188
Fe3 0.500 0.632 0.132
Hf11 0.205 0.233 0.438
Fe4 0.334 0.000 0.334
Hf12 0.110 0.298 0.812
Ag2 0.000 0.500 0.500

14.
## Cs3Er2TiTe6 (GGA-PBE)

Data for crystalline Cs3Er2TiTe6 at its relaxed geometry.

Raw formation energy in eV/atom: -1.156
E_tot in eV per atom: -4.36
Magnetization in μB per cell: 1.00
Symmetry: C2/m, No. 12

abc: 7.681 7.681 9.228
angles: 98.00 98.00 119.97
Site moments in Bohr magnetons follow the coordinates.
Positions (direct):
Cs1 0.828 0.172 0.500  0.00
Te1 0.745 0.745 0.185  -0.02
Te2 0.939 0.623 0.818  -0.02
Te3 0.377 0.061 0.182  -0.02
Cs2 0.500 0.500 0.500  0.00
Te4 0.623 0.939 0.818  -0.02
Te5 0.061 0.377 0.182  -0.02
Er1 0.334 0.666 0.000  0.02
Te6 0.255 0.255 0.815  -0.02
Ti1 0.000 0.000 0.000  0.91
Er2 0.666 0.334 0.000  0.02
Cs3 0.172 0.828 0.500  0.00

15.
## Ac2PmIn (GGA-PBE)

Data for crystalline Ac2PmIn at its relaxed geometry.

Energy above the most stable polymorph in this dataset in meV per atom: 9.9
E_tot in eV per atom: -4.11
Magnetization in μB per cell: 0.00
Symmetry: P4/mmm, No. 123
Energy of formation from the pure elements in eV/atom: -0.185

abc: 5.163 5.253 5.253
angles: 90.00 90.00 90.00
Positions (direct):
Ac1 0.000 0.500 0.000
Ac2 0.000 0.000 0.500
In1 0.500 0.000 0.000
Pm1 0.500 0.500 0.500

16.
## CeCdInPd (GGA-PBE)

Data for crystalline CeCdInPd at its relaxed geometry.

E_tot in eV per atom: -4.14
Magnetization in μB per cell: 0.71
Symmetry: F-43m, No. 216
Energy of formation from the pure elements in eV/atom: -0.449

abc: 5.020 5.020 5.020
angles: 60.00 60.00 60.00
Site moments in Bohr magnetons follow the coordinates.
Positions (direct):
In1 0.000 0.000 0.000  0.00
Cd1 0.750 0.750 0.750  0.00
Ce1 0.500 0.500 0.500  0.66
Pd1 0.250 0.250 0.250  -0.02

17.
## CsGaSi2H (GGA-PBE)

Data for crystalline CsGaSi2H at its relaxed geometry.

E_tot in eV per atom: -1.93
Magnetization in μB per cell: 0.00
Symmetry: P4/mmm, No. 123

abc: 5.962 3.987 5.962
angles: 90.00 90.00 90.00
Positions (direct):
Ga1 0.500 0.500 0.500
Si1 0.500 0.000 0.000
H1 0.000 0.500 0.000
Cs1 0.000 0.000 0.000
Si2 0.000 0.000 0.500

18.
## K2Hg9Pd3 (GGA-PBE)

Data for crystalline K2Hg9Pd3 at its relaxed geometry.

E_tot in eV per atom: -1.64
Magnetization in μB per cell: 0.00
Symmetry: C2/c, No. 15
Energy of formation from the pure elements in eV/atom: -0.173

abc: 8.528 8.528 11.895
angles: 90.12 110.72 120.24
Positions (direct):
Hg1 0.443 0.917 0.749
Hg2 0.450 0.639 0.930
Hg3 0.668 0.694 0.751
Pd1 0.500 0.500 0.500
Hg4 0.879 0.856 0.568
Hg5 0.332 0.306 0.249
K1 0.665 0.752 0.250
Hg6 0.108 0.858 0.250
Hg7 0.460 0.811 0.442
Hg8 0.210 0.520 0.570
Hg9 0.557 0.083 0.251
Hg10 0.212 0.689 0.068
Pd2 0.169 0.340 0.000
Hg11 0.121 0.144 0.432
Hg12 0.132 0.982 0.942
Hg13 0.540 0.189 0.558
Pd3 0.831 0.660 0.000
K2 0.997 0.584 0.750
K3 0.335 0.248 0.750
Pd4 0.160 0.831 0.500
Hg14 0.790 0.480 0.430
K4 0.003 0.416 0.250
Pd5 0.500 0.000 0.000
Hg15 0.788 0.311 0.932
Hg16 0.868 0.018 0.058
Hg17 0.892 0.142 0.750
Hg18 0.550 0.361 0.070
Pd6 0.840 0.169 0.500

19.
## CePr2InC (GGA-PBE)

Data for crystalline CePr2InC at its relaxed geometry.

E_tot in eV per atom: -5.79
Magnetization in μB per cell: 0.32
Symmetry: P4/mmm, No. 123
Energy of formation from the pure elements in eV/atom: -0.300

abc: 4.900 5.225 5.225
angles: 90.00 90.00 90.00
Site moments in Bohr magnetons follow the coordinates.
Positions (direct):
C1 0.000 0.000 0.000  -0.01
Ce1 0.500 0.000 0.000  0.28
Pr1 0.000 0.500 0.000  0.01
Pr2 0.000 0.000 0.500  0.01
In1 0.500 0.500 0.500  -0.01

20.
## CaZn2Fe (GGA-PBE)

Data for crystalline CaZn2Fe at its relaxed geometry.

E_tot in eV per atom: -3.17
Magnetization in μB per cell: 2.28
Symmetry: Cm, No. 8
Energy of formation from the pure elements in eV/atom: 0.079

abc: 4.283 4.283 5.698
angles: 68.07 68.07 60.17
Site moments in Bohr magnetons follow the coordinates.
Positions (direct):
Ca1 0.502 0.502 0.493  -0.03
Zn1 0.696 0.696 0.911  -0.03
Zn2 0.990 0.990 0.031  -0.02
Fe1 0.312 0.312 0.065  2.37

21.
## Dy5Y2Ho2 (GGA-PBE)

Data for crystalline Dy5Y2Ho2 at its relaxed geometry.

Energy above the most stable polymorph in this dataset in meV per atom: 102.9
E_tot in eV per atom: -4.79
Magnetization in μB per cell: 0.00
Symmetry: Ima2, No. 46
Energy of formation from the pure elements in eV/atom: 0.222

abc: 11.694 6.695 10.022
angles: 109.51 125.69 90.00
Positions (direct):
Dy1 0.003 0.151 0.500
Ho1 0.262 0.358 0.500
Dy2 0.593 0.246 0.714
Y1 0.124 0.684 0.253
Dy3 0.195 0.158 0.897
Dy4 0.202 0.658 0.897
Dy5 0.798 0.761 0.103
Dy6 0.805 0.261 0.103
Dy7 0.997 0.651 0.500
Ho2 0.000 0.016 0.000
Y2 0.876 0.430 0.747
Dy8 0.407 0.532 0.286
Y3 0.630 0.184 0.253
Dy9 0.380 0.032 0.286
Ho3 0.500 0.516 0.000
Dy10 0.620 0.746 0.714
Y4 0.370 0.930 0.747
Ho4 0.738 0.858 0.500

22.
## Tc5Ag (GGA-PBE)

Data for crystalline Tc5Ag at its relaxed geometry.

Energy above the most stable polymorph in this dataset in meV per atom: 394.3
E_tot in eV per atom: -8.51
Magnetization in μB per cell: 0.00
Symmetry: P6/mmm, No. 191
Energy of formation from the pure elements in eV/atom: 0.605

abc: 5.054 5.054 4.519
angles: 90.00 90.00 120.00
Positions (direct):
Tc1 0.000 0.500 0.500
Tc2 0.500 0.000 0.500
Tc3 0.500 0.500 0.500
Tc4 0.667 0.333 0.000
Tc5 0.333 0.667 0.000
Ag1 0.000 0.000 0.000

23.
## LiY3Hg (GGA-PBE)

Data for crystalline LiY3Hg at its relaxed geometry.

Energy above the most stable polymorph in this dataset in meV per atom: 0.0
E_tot in eV per atom: -4.51
Magnetization in μB per cell: 0.00
Symmetry: Cmcm, No. 63
Energy of formation from the pure elements in eV/atom: -0.187

abc: 5.160 5.158 10.453
angles: 90.00 75.71 90.00
Positions (direct):
Y1 0.759 0.250 0.130
Y2 0.889 0.750 0.870
Li1 0.479 0.750 0.690
Li2 0.169 0.250 0.310
Y3 0.076 0.750 0.497
Y4 0.572 0.250 0.503
Hg1 0.664 0.750 0.321
Y5 0.264 0.750 0.120
Y6 0.384 0.250 0.880
Hg2 0.985 0.250 0.679

24.
## CeNpCo (GGA-PBE)

Data for crystalline CeNpCo at its relaxed geometry.

Energy above the most stable polymorph in this dataset in meV per atom: 0.0
E_tot in eV per atom: -8.67
Magnetization in μB per cell: 2.14
Symmetry: C2/m, No. 12
Energy of formation from the pure elements in eV/atom: -0.011

abc: 5.379 5.379 5.663
angles: 76.26 76.26 47.78
Site moments in Bohr magnetons follow the coordinates.
Positions (direct):
Np1 0.055 0.055 0.663  1.04
Ce1 0.380 0.380 0.818  0.13
Co1 0.713 0.713 0.652  -0.16
Np2 0.945 0.945 0.337  1.04
Co2 0.287 0.287 0.348  -0.16
Ce2 0.620 0.620 0.182  0.13

25.
## SrMg2Hg2 (GGA-PBE)

Data for crystalline SrMg2Hg2 at its relaxed geometry.

Energy above the most stable polymorph in this dataset in meV per atom: 24.7
E_tot in eV per atom: -1.43
Magnetization in μB per cell: 0.00
Symmetry: P4/mmm, No. 123
Energy of formation from the pure elements in eV/atom: -0.340

abc: 4.438 4.438 6.875
angles: 90.00 90.00 90.00
Positions (direct):
Hg1 0.500 0.500 0.220
Sr1 0.000 0.000 0.000
Mg1 0.500 0.000 0.500
Hg2 0.500 0.500 0.780
Mg2 0.000 0.500 0.500